The following is a DFT calculation (GGA-PBE) of crystalline NbSnSeN2 at its relaxed geometry.

ρ (g/cm³): 5.827
Space group: P4/mmm, No. 123
E_form (uncorrected) (eV per atom): 0.134
Electronic total energy (eV/f.u.): -33.5

a = 4.1016 Å, b = 4.1016 Å, c = 5.3968 Å
α = 90.00°, β = 90.00°, γ = 90.00°
Positions (direct):
Nb 0.0000 0.0000 0.0000
Sn 0.5000 0.5000 0.5000
Se 0.0000 0.0000 0.5000
N 0.0000 0.5000 0.0000
N 0.5000 0.0000 0.0000